[1]
A plane-wave DFT calculation with PBE-GGA was carried out for an optimized crystal structure of Tb3PtRh.

Lattice parameters (Å, degrees): 7.759 7.759 8.354 122.47 122.47 36.28
Atoms (fractional coordinates):
1 Tb 0.083 0.083 0.252
2 Tb 0.251 0.251 0.746
3 Tb 0.416 0.416 0.253
4 Tb 0.584 0.584 0.747
5 Tb 0.749 0.749 0.254
6 Tb 0.917 0.917 0.748
7 Pt 0.162 0.162 0.996
8 Pt 0.838 0.838 0.004
9 Rh 0.334 0.334 0.501
10 Rh 0.666 0.666 0.499

## Properties
D(E_F) in states/eV/atom: 0.46
E_tot in eV/cell: -63.33
Energy of formation from the pure elements in eV per atom: -0.876
SG: C2/m
Distance to the lowest polymorph of the same formula in eV/atom: 0.021


[2]
A plane-wave DFT calculation with PBE-GGA was carried out for an optimized crystal structure of Tb7Pt2Rh2.

Lattice parameters (Å, degrees): 6.664 6.664 6.900 90.00 90.00 103.01
Atoms (fractional coordinates):
1 Tb 0.000 0.000 0.000
2 Tb 0.000 0.500 0.261
3 Tb 0.000 0.500 0.739
4 Tb 0.500 0.000 0.261
5 Tb 0.500 0.000 0.739
6 Tb 0.500 0.500 0.255
7 Tb 0.500 0.500 0.745
8 Pt 0.224 0.224 0.500
9 Pt 0.776 0.776 0.500
10 Rh 0.279 0.721 0.000
11 Rh 0.721 0.279 0.000

## Properties
D(E_F) in states/eV/atom: 0.85
E_tot in eV/cell: -66.11
Energy of formation from the pure elements in eV per atom: -0.629
SG: Cmmm
Distance to the lowest polymorph of the same formula in eV/atom: 0.186


[3]
A plane-wave DFT calculation with PBE-GGA was carried out for an optimized crystal structure of TbThPtRh.

Lattice parameters (Å, degrees): 4.337 5.829 5.829 38.46 90.00 90.00
Atoms (fractional coordinates):
1 Tb 0.000 0.000 0.000
2 Th 0.500 0.726 0.726
3 Pt 0.500 0.451 0.451
4 Rh 0.000 0.263 0.263

## Properties
D(E_F) in states/eV/atom: 0.77
E_tot in eV/cell: -29.89
Energy of formation from the pure elements in eV per atom: -1.111
SG: Amm2
Distance to the lowest polymorph of the same formula in eV/atom: 0.000


[4]
A plane-wave DFT calculation with PBE-GGA was carried out for an optimized crystal structure of TbTh2PtRh5.

Lattice parameters (Å, degrees): 8.008 8.008 8.008 116.47 116.47 96.22
Atoms (fractional coordinates):
1 Tb 0.250 0.250 0.000
2 Tb 0.750 0.750 0.000
3 Th 0.139 0.639 0.777
4 Th 0.361 0.139 0.500
5 Th 0.639 0.861 0.500
6 Th 0.861 0.361 0.223
7 Pt 0.250 0.750 0.500
8 Pt 0.750 0.250 0.500
9 Rh 0.000 0.000 0.000
10 Rh 0.053 0.177 0.500
11 Rh 0.177 0.677 0.123
12 Rh 0.323 0.447 0.500
13 Rh 0.447 0.947 0.123
14 Rh 0.500 0.500 0.000
15 Rh 0.553 0.053 0.877
16 Rh 0.677 0.553 0.500
17 Rh 0.823 0.323 0.877
18 Rh 0.947 0.823 0.500

## Properties
D(E_F) in states/eV/atom: 0.83
E_tot in eV/cell: -132.02
Energy of formation from the pure elements in eV per atom: -0.416
SG: I4/mcm


[5]
A plane-wave DFT calculation with PBE-GGA was carried out for an optimized crystal structure of TbThPtRh.

Lattice parameters (Å, degrees): 5.020 5.020 5.020 60.00 60.00 60.00
Atoms (fractional coordinates):
1 Tb 0.000 0.000 0.000
2 Th 0.500 0.500 0.500
3 Pt 0.750 0.750 0.750
4 Rh 0.250 0.250 0.250

## Properties
D(E_F) in states/eV/atom: 1.25
E_tot in eV/cell: -29.18
Energy of formation from the pure elements in eV per atom: -0.933
SG: F-43m
Distance to the lowest polymorph of the same formula in eV/atom: 0.178


[6]
A plane-wave DFT calculation with PBE-GGA was carried out for an optimized crystal structure of TbTmPtRh.

Lattice parameters (Å, degrees): 4.871 4.871 4.871 60.00 60.00 60.00
Atoms (fractional coordinates):
1 Tb 0.000 0.000 0.000
2 Tm 0.500 0.500 0.500
3 Pt 0.750 0.750 0.750
4 Rh 0.250 0.250 0.250

## Properties
D(E_F) in states/eV/atom: 0.33
E_tot in eV/cell: -26.77
Energy of formation from the pure elements in eV per atom: -1.069
SG: F-43m
Distance to the lowest polymorph of the same formula in eV/atom: 0.007


[7]
A plane-wave DFT calculation with PBE-GGA was carried out for an optimized crystal structure of TbTmPtRh.

Lattice parameters (Å, degrees): 4.332 5.597 5.597 39.24 90.00 90.00
Atoms (fractional coordinates):
1 Tb 0.000 0.000 0.000
2 Tm 0.500 0.718 0.718
3 Pt 0.500 0.441 0.441
4 Rh 0.000 0.266 0.266

## Properties
D(E_F) in states/eV/atom: 0.49
E_tot in eV/cell: -26.80
Energy of formation from the pure elements in eV per atom: -1.076
SG: Amm2
Distance to the lowest polymorph of the same formula in eV/atom: 0.000


[8]
A plane-wave DFT calculation with PBE-GGA was carried out for an optimized crystal structure of TbZrPtRh.

Lattice parameters (Å, degrees): 4.810 4.810 4.810 60.00 60.00 60.00
Atoms (fractional coordinates):
1 Tb 0.000 0.000 0.000
2 Zr 0.500 0.500 0.500
3 Pt 0.750 0.750 0.750
4 Rh 0.250 0.250 0.250

## Properties
D(E_F) in states/eV/atom: 1.46
E_tot in eV/cell: -30.04
Energy of formation from the pure elements in eV per atom: -0.867
SG: F-43m
Distance to the lowest polymorph of the same formula in eV/atom: 0.096


[9]
A plane-wave DFT calculation with PBE-GGA was carried out for an optimized crystal structure of TbZrPtRh.

Lattice parameters (Å, degrees): 4.471 5.424 5.424 38.12 90.00 90.00
Atoms (fractional coordinates):
1 Tb 0.000 0.000 0.000
2 Zr 0.500 0.280 0.280
3 Pt 0.500 0.558 0.558
4 Rh 0.000 0.737 0.737

## Properties
D(E_F) in states/eV/atom: 0.61
E_tot in eV/cell: -30.42
Energy of formation from the pure elements in eV per atom: -0.963
SG: Amm2
Distance to the lowest polymorph of the same formula in eV/atom: 0.000


[10]
A plane-wave DFT calculation with PBE-GGA was carried out for an optimized crystal structure of TcPt14Rh.

Lattice parameters (Å, degrees): 5.611 5.611 7.862 90.00 90.00 90.00
Atoms (fractional coordinates):
1 Tc 0.000 0.000 0.000
2 Pt 0.000 0.000 0.500
3 Pt 0.000 0.500 0.000
4 Pt 0.000 0.500 0.500
5 Pt 0.248 0.248 0.244
6 Pt 0.248 0.248 0.756
7 Pt 0.248 0.752 0.244
8 Pt 0.248 0.752 0.756
9 Pt 0.500 0.000 0.000
10 Pt 0.500 0.000 0.500
11 Pt 0.500 0.500 0.500
12 Pt 0.752 0.248 0.244
13 Pt 0.752 0.248 0.756
14 Pt 0.752 0.752 0.244
15 Pt 0.752 0.752 0.756
16 Rh 0.500 0.500 0.000

## Properties
D(E_F) in states/eV/atom: 1.51
E_tot in eV/cell: -103.07
Energy of formation from the pure elements in eV per atom: -0.049
SG: P4/mmm


[11]
A plane-wave DFT calculation with PBE-GGA was carried out for an optimized crystal structure of TcPt3Rh3.

Lattice parameters (Å, degrees): 6.330 6.330 5.503 90.00 90.00 91.31
Atoms (fractional coordinates):
1 Tc 0.244 0.244 0.000
2 Tc 0.756 0.756 0.000
3 Pt 0.181 0.819 0.000
4 Pt 0.197 0.803 0.500
5 Pt 0.228 0.228 0.500
6 Pt 0.772 0.772 0.500
7 Pt 0.803 0.197 0.500
8 Pt 0.819 0.181 0.000
9 Rh 0.000 0.500 0.244
10 Rh 0.000 0.500 0.756
11 Rh 0.500 0.000 0.244
12 Rh 0.500 0.000 0.756
13 Rh 0.500 0.500 0.240
14 Rh 0.500 0.500 0.760

## Properties
D(E_F) in states/eV/atom: 1.46
E_tot in eV/cell: -98.72
Energy of formation from the pure elements in eV per atom: 0.169
SG: Cmmm
Distance to the lowest polymorph of the same formula in eV/atom: 0.000


[12]
A plane-wave DFT calculation with PBE-GGA was carried out for an optimized crystal structure of TcPt2Rh.

Lattice parameters (Å, degrees): 4.425 4.425 4.425 60.00 60.00 60.00
Atoms (fractional coordinates):
1 Tc 0.000 0.000 0.000
2 Pt 0.250 0.250 0.250
3 Pt 0.750 0.750 0.750
4 Rh 0.500 0.500 0.500

## Properties
D(E_F) in states/eV/atom: 1.26
E_tot in eV/cell: -29.00
Energy of formation from the pure elements in eV per atom: 0.199
SG: Fm-3m
Distance to the lowest polymorph of the same formula in eV/atom: 0.368


[13]
A plane-wave DFT calculation with PBE-GGA was carried out for an optimized crystal structure of TcPt4Rh.

Lattice parameters (Å, degrees): 2.760 2.760 11.959 90.00 90.00 90.00
Atoms (fractional coordinates):
1 Tc 0.000 0.000 0.000
2 Pt 0.000 0.000 0.336
3 Pt 0.000 0.000 0.664
4 Pt 0.500 0.500 0.159
5 Pt 0.500 0.500 0.841
6 Rh 0.500 0.500 0.500

## Properties
D(E_F) in states/eV/atom: 1.47
E_tot in eV/cell: -42.51
Energy of formation from the pure elements in eV per atom: -0.106
SG: P4/mmm
Distance to the lowest polymorph of the same formula in eV/atom: 0.000


[14]
A plane-wave DFT calculation with PBE-GGA was carried out for an optimized crystal structure of Tc2Pt5Rh5.

Lattice parameters (Å, degrees): 6.171 6.171 8.742 115.07 115.07 36.55
Atoms (fractional coordinates):
1 Tc 0.086 0.086 0.257
2 Tc 0.914 0.914 0.743
3 Pt 0.000 0.000 0.500
4 Pt 0.161 0.161 0.997
5 Pt 0.254 0.254 0.751
6 Pt 0.746 0.746 0.249
7 Pt 0.839 0.839 0.003
8 Rh 0.332 0.332 0.503
9 Rh 0.425 0.425 0.251
10 Rh 0.500 0.500 0.000
11 Rh 0.575 0.575 0.749
12 Rh 0.668 0.668 0.497

## Properties
D(E_F) in states/eV/atom: 1.03
E_tot in eV/cell: -89.03
Energy of formation from the pure elements in eV per atom: -0.112
SG: C2/m


[15]
A plane-wave DFT calculation with PBE-GGA was carried out for an optimized crystal structure of TcPtRh.

Lattice parameters (Å, degrees): 4.759 4.759 7.796 114.18 114.18 33.39
Atoms (fractional coordinates):
1 Tc 0.000 0.000 0.000
2 Tc 0.000 0.000 0.500
3 Pt 0.336 0.336 0.670
4 Pt 0.664 0.664 0.330
5 Rh 0.337 0.337 0.167
6 Rh 0.663 0.663 0.833

## Properties
D(E_F) in states/eV/atom: 0.73
E_tot in eV/cell: -48.49
Energy of formation from the pure elements in eV per atom: -0.163
SG: C2/m
Distance to the lowest polymorph of the same formula in eV/atom: 0.012


[16]
A plane-wave DFT calculation with PBE-GGA was carried out for an optimized crystal structure of TcPt6Rh5.

Lattice parameters (Å, degrees): 7.307 7.307 7.307 149.06 115.13 73.60
Atoms (fractional coordinates):
1 Tc 0.000 0.000 0.000
2 Pt 0.082 0.834 0.248
3 Pt 0.245 0.500 0.745
4 Pt 0.414 0.166 0.248
5 Pt 0.586 0.834 0.752
6 Pt 0.755 0.500 0.255
7 Pt 0.918 0.166 0.752
8 Rh 0.163 0.663 0.500
9 Rh 0.337 0.337 0.000
10 Rh 0.500 0.000 0.500
11 Rh 0.663 0.663 0.000
12 Rh 0.837 0.337 0.500

## Properties
D(E_F) in states/eV/atom: 1.54
E_tot in eV/cell: -84.12
Energy of formation from the pure elements in eV per atom: -0.062
SG: Immm
Distance to the lowest polymorph of the same formula in eV/atom: 0.000


[17]
A plane-wave DFT calculation with PBE-GGA was carried out for an optimized crystal structure of TcPtRh4.

Lattice parameters (Å, degrees): 5.046 5.046 5.046 60.00 60.00 60.00
Atoms (fractional coordinates):
1 Tc 0.000 0.000 0.000
2 Pt 0.250 0.250 0.250
3 Rh 0.125 0.625 0.625
4 Rh 0.625 0.125 0.625
5 Rh 0.625 0.625 0.125
6 Rh 0.625 0.625 0.625

## Properties
D(E_F) in states/eV/atom: 1.04
E_tot in eV/cell: -43.71
Energy of formation from the pure elements in eV per atom: 0.351
SG: F-43m
Distance to the lowest polymorph of the same formula in eV/atom: 0.233


[18]
A plane-wave DFT calculation with PBE-GGA was carried out for an optimized crystal structure of TcPtRh2.

Lattice parameters (Å, degrees): 4.762 4.762 4.761 99.30 99.30 33.20
Atoms (fractional coordinates):
1 Tc 0.000 0.000 0.000
2 Pt 0.500 0.500 0.500
3 Rh 0.253 0.253 0.758
4 Rh 0.747 0.747 0.242

## Properties
D(E_F) in states/eV/atom: 1.42
E_tot in eV/cell: -31.49
Energy of formation from the pure elements in eV per atom: -0.094
SG: C2/m
Distance to the lowest polymorph of the same formula in eV/atom: 0.050


[19]
A plane-wave DFT calculation with PBE-GGA was carried out for an optimized crystal structure of Tc2Pt2Rh5.

Lattice parameters (Å, degrees): 6.130 6.130 6.104 107.45 107.45 36.88
Atoms (fractional coordinates):
1 Tc 0.058 0.058 0.337
2 Tc 0.942 0.942 0.663
3 Pt 0.392 0.392 0.332
4 Pt 0.608 0.608 0.668
5 Rh 0.165 0.165 0.003
6 Rh 0.283 0.283 0.663
7 Rh 0.500 0.500 0.000
8 Rh 0.717 0.717 0.337
9 Rh 0.835 0.835 0.997

## Properties
D(E_F) in states/eV/atom: 1.03
E_tot in eV/cell: -70.52
Energy of formation from the pure elements in eV per atom: -0.106
SG: C2/m
Distance to the lowest polymorph of the same formula in eV/atom: 0.000


[20]
A plane-wave DFT calculation with PBE-GGA was carried out for an optimized crystal structure of TcPtRh.

Lattice parameters (Å, degrees): 4.768 4.768 4.768 146.63 131.96 59.76
Atoms (fractional coordinates):
1 Tc 0.000 0.000 0.000
2 Pt 0.669 0.669 0.000
3 Rh 0.343 0.343 0.000

## Properties
D(E_F) in states/eV/atom: 0.76
E_tot in eV/cell: -24.28
Energy of formation from the pure elements in eV per atom: -0.175
SG: Imm2
Distance to the lowest polymorph of the same formula in eV/atom: 0.000


[21]
A plane-wave DFT calculation with PBE-GGA was carried out for an optimized crystal structure of TcPtRh2.

Lattice parameters (Å, degrees): 5.399 5.399 2.686 104.42 104.42 119.09
Atoms (fractional coordinates):
1 Tc 0.000 0.000 0.000
2 Pt 0.500 0.500 0.000
3 Rh 0.000 0.500 0.000
4 Rh 0.500 0.000 0.000

## Properties
D(E_F) in states/eV/atom: 1.49
E_tot in eV/cell: -30.49
Energy of formation from the pure elements in eV per atom: 0.155
SG: C2/m
Distance to the lowest polymorph of the same formula in eV/atom: 0.299


[22]
A plane-wave DFT calculation with PBE-GGA was carried out for an optimized crystal structure of Tc2Pt7Rh2.

Lattice parameters (Å, degrees): 5.130 5.130 6.678 97.11 97.11 93.51
Atoms (fractional coordinates):
1 Tc 0.176 0.824 0.000
2 Tc 0.824 0.176 0.000
3 Pt 0.047 0.419 0.711
4 Pt 0.104 0.104 0.350
5 Pt 0.419 0.047 0.711
6 Pt 0.500 0.500 0.500
7 Pt 0.581 0.953 0.289
8 Pt 0.896 0.896 0.650
9 Pt 0.953 0.581 0.289
10 Rh 0.346 0.346 0.083
11 Rh 0.654 0.654 0.917

## Properties
D(E_F) in states/eV/atom: 1.00
E_tot in eV/cell: -77.28
Energy of formation from the pure elements in eV per atom: 0.040
SG: C2/m
Distance to the lowest polymorph of the same formula in eV/atom: 0.000


[23]
A plane-wave DFT calculation with PBE-GGA was carried out for an optimized crystal structure of Tc2PtRh.

Lattice parameters (Å, degrees): 4.403 4.403 4.403 60.00 60.00 60.00
Atoms (fractional coordinates):
1 Tc 0.250 0.250 0.250
2 Tc 0.750 0.750 0.750
3 Pt 0.000 0.000 0.000
4 Rh 0.500 0.500 0.500

## Properties
D(E_F) in states/eV/atom: 1.75
E_tot in eV/cell: -32.55
Energy of formation from the pure elements in eV per atom: 0.393
SG: Fm-3m
Distance to the lowest polymorph of the same formula in eV/atom: 0.560


[24]
A plane-wave DFT calculation with PBE-GGA was carried out for an optimized crystal structure of TcPt2Rh.

Lattice parameters (Å, degrees): 2.755 3.952 5.470 90.00 90.00 90.00
Atoms (fractional coordinates):
1 Tc 0.000 0.000 0.000
2 Pt 0.500 0.500 0.245
3 Pt 0.500 0.500 0.755
4 Rh 0.000 0.000 0.500

## Properties
D(E_F) in states/eV/atom: 1.06
E_tot in eV/cell: -30.25
Energy of formation from the pure elements in eV per atom: -0.112
SG: Pmmm
Distance to the lowest polymorph of the same formula in eV/atom: 0.056


[25]
A plane-wave DFT calculation with PBE-GGA was carried out for an optimized crystal structure of Tc2Pt2Rh.

Lattice parameters (Å, degrees): 4.261 4.261 5.227 90.00 90.00 116.43
Atoms (fractional coordinates):
1 Tc 0.168 0.832 0.000
2 Tc 0.832 0.168 0.000
3 Pt 0.500 0.500 0.252
4 Pt 0.500 0.500 0.748
5 Rh 0.000 0.000 0.500

## Properties
D(E_F) in states/eV/atom: 1.06
E_tot in eV/cell: -38.71
Energy of formation from the pure elements in eV per atom: 0.291
SG: Cmmm
Distance to the lowest polymorph of the same formula in eV/atom: 0.070